Record 1
# ScAlRu2

An optimized crystal structure of ScAlRu2 (GGA-PBE, Alexandria).

Values from the calculation:
DOS(E_F): 4.6 states/eV per cell
VASP energy: -29.9 eV per formula unit
calculated formation energy: -0.327 eV/atom

Lattice parameters (Å, degrees): 2.890 4.052 5.303 90.00 90.00 90.00
Space group Pmm2 (No. 25)
Inequivalent atoms, fractional coordinates:
Sc 0.000 0.000 0.000 [1 per cell]
Al 0.500 0.500 0.289 [1 per cell]
Ru 0.000 0.000 0.507 [1 per cell]
Ru 0.500 0.500 0.763 [1 per cell]



Record 2
# CaReTc2

An optimized crystal structure of CaReTc2 (GGA-PBE, Alexandria).

Values from the calculation:
DOS(E_F): 12.2 states/eV per cell
VASP energy: -32.8 eV per formula unit
distance to the lowest polymorph of the same formula: 4.97 kcal/mol of atoms
calculated formation energy: 0.603 eV/atom

Lattice parameters (Å, degrees): 6.385 6.385 6.385 90.00 90.00 90.00
Space group F-43m (No. 216)
Inequivalent atoms, fractional coordinates:
Ca 0.000 0.000 0.000 [4 per cell]
Re 0.250 0.250 0.250 [4 per cell]
Tc 0.000 0.000 0.500 [4 per cell]
Tc 0.250 0.250 0.750 [4 per cell]



Record 3
# AlCo2Se

An optimized crystal structure of AlCo2Se (GGA-PBE, Alexandria).

Values from the calculation:
raw formation energy: -0.29 eV/f.u.
DOS(E_F): 3.8 states/eV per cell
VASP energy: -21.7 eV per formula unit
distance to the lowest polymorph of the same formula: 0.44 kcal/mol of atoms

Lattice parameters (Å, degrees): 3.242 3.242 5.000 90.00 90.00 90.00
Space group P4mm (No. 99)
Inequivalent atoms, fractional coordinates:
Al 0.000 0.000 0.000 [1 per cell]
Co 0.000 0.000 0.495 [1 per cell]
Co 0.500 0.500 0.178 [1 per cell]
Se 0.500 0.500 0.651 [1 per cell]



Record 4
# CeSbCl

An optimized crystal structure of CeSbCl (GGA-PBE, Alexandria).

Values from the calculation:
raw formation energy: -3.46 eV/f.u.
DOS(E_F): 3.4 states/eV per cell
VASP energy: -15.4 eV per formula unit
distance to the lowest polymorph of the same formula: 2.37 kcal/mol of atoms

Lattice parameters (Å, degrees): 4.7414 4.7414 4.1842 90.00 90.00 120.00
Space group P-6m2 (No. 187)
Inequivalent atoms, fractional coordinates:
Ce 0.0000 0.0000 0.0000 [1 per cell]
Sb 0.6667 0.3333 0.5000 [1 per cell]
Cl 0.3333 0.6667 0.0000 [1 per cell]



Record 5
# Pb2Cl2O

An optimized crystal structure of Pb2Cl2O (GGA-PBE, Alexandria).

Values from the calculation:
raw formation energy: -5.85 eV/f.u.
DOS(E_F): 0.0 states/eV per cell
VASP energy: -21.9 eV per formula unit

Lattice parameters (Å, degrees): 13.046 5.943 9.457 90.00 124.16 90.00
Space group C2/m (No. 12)
Inequivalent atoms, fractional coordinates:
Pb 0.065 0.000 0.378 [4 per cell]
Pb 0.195 0.500 0.118 [4 per cell]
Cl 0.104 0.500 0.342 [4 per cell]
Cl 0.177 0.000 0.060 [4 per cell]
O 0.119 0.000 0.651 [4 per cell]



Record 6
# MgFeBr2

An optimized crystal structure of MgFeBr2 (GGA-PBE, Alexandria).

Values from the calculation:
raw formation energy: -0.75 eV/f.u.
DOS(E_F): 4.8 states/eV per cell
VASP energy: -14.2 eV per formula unit
distance to the lowest polymorph of the same formula: 2.42 kcal/mol of atoms

Lattice parameters (Å, degrees): 10.387 3.321 7.124 90.00 112.93 90.00
Space group Cm (No. 8)
Inequivalent atoms, fractional coordinates:
Mg 0.000 0.000 0.000 [2 per cell]
Fe 0.275 0.000 0.001 [2 per cell]
Br 0.090 0.500 0.740 [2 per cell]
Br 0.230 0.500 0.261 [2 per cell]